Record 1
# CaAlSe2 (PBE-GGA, optimized geometry)
# - DFT total energy (eV/atom) = -4.0006
# - ΔE_f (raw) (eV/atom) = -0.822
# - crystal system = trigonal
data_CaAlSe2
_chemical_formula_sum 'Ca3 Al3 Se6'
_symmetry_space_group_name_H-M 'R -3 m'
_symmetry_Int_Tables_number 166
_symmetry_space_group_name_Hall '-R 3 2"'
_cell_length_a 4.3850
_cell_length_b 4.3850
_cell_length_c 23.1436
_cell_angle_alpha 90.00
_cell_angle_beta 90.00
_cell_angle_gamma 120.00
loop_
_atom_site_label
_atom_site_type_symbol
_atom_site_fract_x
_atom_site_fract_y
_atom_site_fract_z
Ca1 Ca 0.0000 0.0000 0.0000
Al1 Al 0.0000 0.0000 0.5000
Se1 Se 0.0000 0.0000 0.3988

Record 2
# RbNa3Ca4Cl12 (PBE-GGA, optimized geometry)
# - DFT total energy (eV/atom) = -3.9232
# - ΔE_f (raw) (eV/atom) = -2.169
# - crystal system = cubic
data_RbNa3Ca4Cl12
_chemical_formula_sum 'Rb2 Na6 Ca8 Cl24'
_symmetry_space_group_name_H-M 'I m -3'
_symmetry_Int_Tables_number 204
_symmetry_space_group_name_Hall '-I 2 2 3'
_cell_length_a 10.390
_cell_length_b 10.390
_cell_length_c 10.390
_cell_angle_alpha 90.00
_cell_angle_beta 90.00
_cell_angle_gamma 90.00
loop_
_atom_site_label
_atom_site_type_symbol
_atom_site_fract_x
_atom_site_fract_y
_atom_site_fract_z
Rb1 Rb 0.000 0.000 0.000
Na1 Na 0.000 0.000 0.500
Ca1 Ca 0.250 0.250 0.250
Cl1 Cl 0.000 0.304 0.183

Record 3
# Zr2TaTeAu (PBE-GGA, optimized geometry)
# - DFT total energy (eV/atom) = -6.3182
# - ΔE_f (raw) (eV/atom) = 0.755
# - crystal system = tetragonal
data_Zr2TaTeAu
_chemical_formula_sum 'Zr2 Ta1 Te1 Au1'
_symmetry_space_group_name_H-M 'P 4/m m m'
_symmetry_Int_Tables_number 123
_symmetry_space_group_name_Hall '-P 4 2'
_cell_length_a 5.180
_cell_length_b 5.180
_cell_length_c 5.065
_cell_angle_alpha 90.00
_cell_angle_beta 90.00
_cell_angle_gamma 90.00
loop_
_atom_site_label
_atom_site_type_symbol
_atom_site_fract_x
_atom_site_fract_y
_atom_site_fract_z
Zr1 Zr 0.000 0.500 0.000
Ta1 Ta 0.000 0.000 0.000
Te1 Te 0.500 0.500 0.500
Au1 Au 0.000 0.000 0.500

Record 4
# Hg2AuCl (PBE-GGA, optimized geometry)
# - DFT total energy (eV/atom) = -1.4270
# - ΔE_f (raw) (eV/atom) = 0.005
# - crystal system = orthorhombic
# - distance to the lowest polymorph of the same formula (eV per formula unit) = 0.52
data_Hg2AuCl
_chemical_formula_sum 'Hg4 Au2 Cl2'
_symmetry_space_group_name_H-M 'C m m m'
_symmetry_Int_Tables_number 65
_symmetry_space_group_name_Hall '-C 2 2'
_cell_length_a 7.635
_cell_length_b 7.665
_cell_length_c 3.030
_cell_angle_alpha 90.00
_cell_angle_beta 90.00
_cell_angle_gamma 90.00
loop_
_atom_site_label
_atom_site_type_symbol
_atom_site_fract_x
_atom_site_fract_y
_atom_site_fract_z
Hg1 Hg 0.250 0.250 0.000
Au1 Au 0.000 0.000 0.500
Cl1 Cl 0.000 0.500 0.500

Record 5
# CdRe2Ir (PBE-GGA, optimized geometry)
# - DFT total energy (eV/atom) = -7.6889
# - crystal system = tetragonal
# - formation enthalpy at 0 K (eV per atom) = 0.98
data_CdRe2Ir
_chemical_formula_sum 'Cd4 Re8 Ir4'
_symmetry_space_group_name_H-M 'I -4 2 d'
_symmetry_Int_Tables_number 122
_symmetry_space_group_name_Hall 'I -4 2bw'
_cell_length_a 7.529
_cell_length_b 7.529
_cell_length_c 5.193
_cell_angle_alpha 90.00
_cell_angle_beta 90.00
_cell_angle_gamma 90.00
loop_
_atom_site_label
_atom_site_type_symbol
_atom_site_fract_x
_atom_site_fract_y
_atom_site_fract_z
Cd1 Cd 0.000 0.000 0.000
Re1 Re 0.197 0.250 0.625
Ir1 Ir 0.000 0.000 0.500

Record 6
# Na2Tl7Hg (PBE-GGA, optimized geometry)
# - DFT total energy (eV/atom) = -1.7113
# - crystal system = cubic
# - formation enthalpy at 0 K (eV per atom) = 0.24
data_Na2Tl7Hg
_chemical_formula_sum 'Na8 Tl28 Hg4'
_symmetry_space_group_name_H-M 'F m -3 m'
_symmetry_Int_Tables_number 225
_symmetry_space_group_name_Hall '-F 4 2 3'
_cell_length_a 11.841
_cell_length_b 11.841
_cell_length_c 11.841
_cell_angle_alpha 90.00
_cell_angle_beta 90.00
_cell_angle_gamma 90.00
loop_
_atom_site_label
_atom_site_type_symbol
_atom_site_fract_x
_atom_site_fract_y
_atom_site_fract_z
Na1 Na 0.250 0.250 0.250
Tl1 Tl 0.000 0.000 0.000
Tl2 Tl 0.000 0.000 0.254
Hg1 Hg 0.000 0.000 0.500

Record 7
# Ta2NbCrC4 (PBE-GGA, optimized geometry)
# - DFT total energy (eV/atom) = -10.1991
# - crystal system = orthorhombic
# - formation enthalpy at 0 K (eV per atom) = -0.16
data_Ta2NbCrC4
_chemical_formula_sum 'Ta8 Nb4 Cr4 C16'
_symmetry_space_group_name_H-M 'C m c m'
_symmetry_Int_Tables_number 63
_symmetry_space_group_name_Hall '-C 2c 2'
_cell_length_a 3.080
_cell_length_b 10.684
_cell_length_c 11.004
_cell_angle_alpha 90.00
_cell_angle_beta 90.00
_cell_angle_gamma 90.00
loop_
_atom_site_label
_atom_site_type_symbol
_atom_site_fract_x
_atom_site_fract_y
_atom_site_fract_z
Ta1 Ta 0.000 0.133 0.041
Nb1 Nb 0.000 0.363 0.250
Cr1 Cr 0.000 0.370 0.750
C1 C 0.000 0.026 0.250
C2 C 0.000 0.237 0.628
C3 C 0.000 0.500 0.000

Record 8
# LaTm2Ag2 (PBE-GGA, optimized geometry)
# - DFT total energy (eV/atom) = -4.0337
# - crystal system = orthorhombic
# - formation enthalpy at 0 K (eV per atom) = -0.12
data_LaTm2Ag2
_chemical_formula_sum 'La2 Tm4 Ag4'
_symmetry_space_group_name_H-M 'C m m m'
_symmetry_Int_Tables_number 65
_symmetry_space_group_name_Hall '-C 2 2'
_cell_length_a 3.613
_cell_length_b 21.236
_cell_length_c 3.575
_cell_angle_alpha 90.00
_cell_angle_beta 90.00
_cell_angle_gamma 90.00
loop_
_atom_site_label
_atom_site_type_symbol
_atom_site_fract_x
_atom_site_fract_y
_atom_site_fract_z
La1 La 0.000 0.000 0.000
Tm1 Tm 0.000 0.180 0.000
Ag1 Ag 0.000 0.397 0.500

Record 9
# MnNbFe (PBE-GGA, optimized geometry)
# - DFT total energy (eV/atom) = -8.6751
# - crystal system = orthorhombic
# - formation enthalpy at 0 K (eV per atom) = 0.56
# - distance to the lowest polymorph of the same formula (eV per formula unit) = 2.09
data_MnNbFe
_chemical_formula_sum 'Mn2 Nb2 Fe2'
_symmetry_space_group_name_H-M 'P m m n'
_symmetry_Int_Tables_number 59
_cell_length_a 4.059
_cell_length_b 4.103
_cell_length_c 5.422
_cell_angle_alpha 90.00
_cell_angle_beta 90.00
_cell_angle_gamma 90.00
loop_
_symmetry_equiv_pos_as_xyz
'x,y,z'
'-x,-y,-z'
'-x+1/2,-y+1/2,z'
'x+1/2,y+1/2,-z'
'x+1/2,-y,-z'
'-x+1/2,y,z'
'-x,y+1/2,-z'
'x,-y+1/2,z'
loop_
_atom_site_label
_atom_site_type_symbol
_atom_site_fract_x
_atom_site_fract_y
_atom_site_fract_z
Mn1 Mn 0.250 0.250 0.196
Nb1 Nb 0.250 0.750 0.499
Fe1 Fe 0.250 0.750 0.001

Record 10
# TbIr2Pt (PBE-GGA, optimized geometry)
# - DFT total energy (eV/atom) = -7.6597
# - crystal system = tetragonal
# - formation enthalpy at 0 K (eV per atom) = -0.56
data_TbIr2Pt
_chemical_formula_sum 'Tb1 Ir2 Pt1'
_symmetry_space_group_name_H-M 'P 4/m m m'
_symmetry_Int_Tables_number 123
_symmetry_space_group_name_Hall '-P 4 2'
_cell_length_a 4.081
_cell_length_b 4.081
_cell_length_c 4.083
_cell_angle_alpha 90.00
_cell_angle_beta 90.00
_cell_angle_gamma 90.00
loop_
_atom_site_label
_atom_site_type_symbol
_atom_site_fract_x
_atom_site_fract_y
_atom_site_fract_z
Tb1 Tb 0.000 0.000 0.000
Ir1 Ir 0.000 0.500 0.500
Pt1 Pt 0.500 0.500 0.000

Record 11
# LaSe3 (PBE-GGA, optimized geometry)
# - DFT total energy (eV/atom) = -4.8247
# - ΔE_f (raw) (eV/atom) = -0.979
# - crystal system = trigonal
data_LaSe3
_chemical_formula_sum 'La3 Se9'
_symmetry_space_group_name_H-M 'R -3 m'
_symmetry_Int_Tables_number 166
_symmetry_space_group_name_Hall '-R 3 2"'
_cell_length_a 8.9535
_cell_length_b 8.9535
_cell_length_c 4.7683
_cell_angle_alpha 90.00
_cell_angle_beta 90.00
_cell_angle_gamma 120.00
loop_
_atom_site_label
_atom_site_type_symbol
_atom_site_fract_x
_atom_site_fract_y
_atom_site_fract_z
La1 La 0.0000 0.0000 0.0000
Se1 Se 0.0000 0.5000 0.0000

Record 12
# PmHo2ThBi5 (PBE-GGA, optimized geometry)
# - DFT total energy (eV/atom) = -4.3025
# - crystal system = tetragonal
# - formation enthalpy at 0 K (eV per atom) = 0.22
data_PmHo2ThBi5
_chemical_formula_sum 'Pm1 Ho2 Th1 Bi5'
_symmetry_space_group_name_H-M 'P 4/m m m'
_symmetry_Int_Tables_number 123
_symmetry_space_group_name_Hall '-P 4 2'
_cell_length_a 5.714
_cell_length_b 5.714
_cell_length_c 12.060
_cell_angle_alpha 90.00
_cell_angle_beta 90.00
_cell_angle_gamma 90.00
loop_
_atom_site_label
_atom_site_type_symbol
_atom_site_fract_x
_atom_site_fract_y
_atom_site_fract_z
Pm1 Pm 0.000 0.000 0.000
Ho1 Ho 0.500 0.500 0.264
Th1 Th 0.000 0.000 0.500
Bi1 Bi 0.000 0.000 0.244
Bi2 Bi 0.000 0.500 0.500
Bi3 Bi 0.500 0.500 0.000

Record 13
# Sr2Zn12Ir5 (PBE-GGA, optimized geometry)
# - DFT total energy (eV/atom) = -3.5357
# - crystal system = trigonal
# - formation enthalpy at 0 K (eV per atom) = -0.22
data_Sr2Zn12Ir5
_chemical_formula_sum 'Sr6 Zn36 Ir15'
_symmetry_space_group_name_H-M 'R -3 m'
_symmetry_Int_Tables_number 166
_symmetry_space_group_name_Hall '-R 3 2"'
_cell_length_a 9.2093
_cell_length_b 9.2093
_cell_length_c 13.2565
_cell_angle_alpha 90.00
_cell_angle_beta 90.00
_cell_angle_gamma 120.00
loop_
_atom_site_label
_atom_site_type_symbol
_atom_site_fract_x
_atom_site_fract_y
_atom_site_fract_z
Sr1 Sr 0.0000 0.0000 0.1623
Zn1 Zn 0.0000 0.2851 0.5000
Zn2 Zn 0.0147 0.5073 0.3496
Ir1 Ir 0.0000 0.0000 0.4038
Ir2 Ir 0.0000 0.5000 0.0000

Record 14
# ZrTiMoRh (PBE-GGA, optimized geometry)
# - DFT total energy (eV/atom) = -9.1117
# - crystal system = tetragonal
# - formation enthalpy at 0 K (eV per atom) = -0.46
# - distance to the lowest polymorph of the same formula (eV per formula unit) = 0.00
data_ZrTiMoRh
_chemical_formula_sum 'Zr1 Ti1 Mo1 Rh1'
_symmetry_space_group_name_H-M 'P 4 m m'
_symmetry_Int_Tables_number 99
_cell_length_a 3.225
_cell_length_b 3.225
_cell_length_c 6.497
_cell_angle_alpha 90.00
_cell_angle_beta 90.00
_cell_angle_gamma 90.00
loop_
_symmetry_equiv_pos_as_xyz
'x,y,z'
'-y,x,z'
'-x,-y,z'
'y,-x,z'
'-x,y,z'
'y,x,z'
'x,-y,z'
'-y,-x,z'
loop_
_atom_site_label
_atom_site_type_symbol
_atom_site_fract_x
_atom_site_fract_y
_atom_site_fract_z
Zr1 Zr 0.000 0.000 0.000
Ti1 Ti 0.000 0.000 0.505
Mo1 Mo 0.500 0.500 0.734
Rh1 Rh 0.500 0.500 0.261

Record 15
# ZrPdC3 (PBE-GGA, optimized geometry)
# - DFT total energy (eV/atom) = -5.9513
# - crystal system = cubic
# - formation enthalpy at 0 K (eV per atom) = 2.33
# - distance to the lowest polymorph of the same formula (eV per formula unit) = 1.84
data_ZrPdC3
_chemical_formula_sum 'Zr1 Pd1 C3'
_symmetry_space_group_name_H-M 'P m -3 m'
_symmetry_Int_Tables_number 221
_symmetry_space_group_name_Hall '-P 4 2 3'
_cell_length_a 4.293
_cell_length_b 4.293
_cell_length_c 4.293
_cell_angle_alpha 90.00
_cell_angle_beta 90.00
_cell_angle_gamma 90.00
loop_
_atom_site_label
_atom_site_type_symbol
_atom_site_fract_x
_atom_site_fract_y
_atom_site_fract_z
Zr1 Zr 0.000 0.000 0.000
Pd1 Pd 0.500 0.500 0.500
C1 C 0.000 0.000 0.500

Record 16
# MnReRu2Cl (PBE-GGA, optimized geometry)
# - DFT total energy (eV/atom) = -6.6284
# - ΔE_f (raw) (eV/atom) = 1.775
# - crystal system = tetragonal
data_MnReRu2Cl
_chemical_formula_sum 'Mn1 Re1 Ru2 Cl1'
_symmetry_space_group_name_H-M 'P 4/m m m'
_symmetry_Int_Tables_number 123
_symmetry_space_group_name_Hall '-P 4 2'
_cell_length_a 4.791
_cell_length_b 4.791
_cell_length_c 4.529
_cell_angle_alpha 90.00
_cell_angle_beta 90.00
_cell_angle_gamma 90.00
loop_
_atom_site_label
_atom_site_type_symbol
_atom_site_fract_x
_atom_site_fract_y
_atom_site_fract_z
Mn1 Mn 0.000 0.000 0.000
Re1 Re 0.000 0.000 0.500
Ru1 Ru 0.000 0.500 0.500
Cl1 Cl 0.500 0.500 0.000

Record 17
# Cd2MoRu (PBE-GGA, optimized geometry)
# - DFT total energy (eV/atom) = -4.9941
# - crystal system = orthorhombic
# - formation enthalpy at 0 K (eV per atom) = 0.49
# - distance to the lowest polymorph of the same formula (eV per formula unit) = 1.49
data_Cd2MoRu
_chemical_formula_sum 'Cd4 Mo2 Ru2'
_symmetry_space_group_name_H-M 'I m m m'
_symmetry_Int_Tables_number 71
_symmetry_space_group_name_Hall '-I 2 2'
_cell_length_a 3.135
_cell_length_b 4.572
_cell_length_c 9.706
_cell_angle_alpha 90.00
_cell_angle_beta 90.00
_cell_angle_gamma 90.00
loop_
_atom_site_label
_atom_site_type_symbol
_atom_site_fract_x
_atom_site_fract_y
_atom_site_fract_z
Cd1 Cd 0.000 0.000 0.242
Mo1 Mo 0.000 0.500 0.000
Ru1 Ru 0.000 0.500 0.500

Record 18
# Cu2GeOsW (PBE-GGA, optimized geometry)
# - DFT total energy (eV/atom) = -5.6912
# - crystal system = tetragonal
# - formation enthalpy at 0 K (eV per atom) = 1.71
data_Cu2GeOsW
_chemical_formula_sum 'Cu2 Ge1 Os1 W1'
_symmetry_space_group_name_H-M 'P 4/m m m'
_symmetry_Int_Tables_number 123
_symmetry_space_group_name_Hall '-P 4 2'
_cell_length_a 4.638
_cell_length_b 4.638
_cell_length_c 4.556
_cell_angle_alpha 90.00
_cell_angle_beta 90.00
_cell_angle_gamma 90.00
loop_
_atom_site_label
_atom_site_type_symbol
_atom_site_fract_x
_atom_site_fract_y
_atom_site_fract_z
Cu1 Cu 0.000 0.500 0.000
Ge1 Ge 0.000 0.000 0.500
Os1 Os 0.000 0.000 0.000
W1 W 0.500 0.500 0.500

Record 19
# RbCdH3 (PBE-GGA, optimized geometry)
# - DFT total energy (eV/atom) = -2.3944
# - crystal system = monoclinic
data_RbCdH3
_chemical_formula_sum 'Rb2 Cd2 H6'
_symmetry_space_group_name_H-M 'P 1 21/m 1'
_symmetry_Int_Tables_number 11
_cell_length_a 3.444
_cell_length_b 7.331
_cell_length_c 7.482
_cell_angle_alpha 90.00
_cell_angle_beta 90.07
_cell_angle_gamma 90.00
loop_
_symmetry_equiv_pos_as_xyz
'x,y,z'
'-x,-y,-z'
'-x,y+1/2,-z'
'x,-y+1/2,z'
loop_
_atom_site_label
_atom_site_type_symbol
_atom_site_fract_x
_atom_site_fract_y
_atom_site_fract_z
Rb1 Rb 0.245 0.250 0.186
Cd1 Cd 0.257 0.250 0.691
H1 H 0.245 0.750 0.450
H2 H 0.255 0.043 0.820

Record 20
# PaMn4 (PBE-GGA, optimized geometry)
# - DFT total energy (eV/atom) = -7.8986
# - crystal system = cubic
# - formation enthalpy at 0 K (eV per atom) = 1.34
data_PaMn4
_chemical_formula_sum 'Pa1 Mn4'
_symmetry_space_group_name_H-M 'P m -3 m'
_symmetry_Int_Tables_number 221
_symmetry_space_group_name_Hall '-P 4 2 3'
_cell_length_a 4.597
_cell_length_b 4.597
_cell_length_c 4.597
_cell_angle_alpha 90.00
_cell_angle_beta 90.00
_cell_angle_gamma 90.00
loop_
_atom_site_label
_atom_site_type_symbol
_atom_site_fract_x
_atom_site_fract_y
_atom_site_fract_z
Pa1 Pa 0.000 0.000 0.000
Mn1 Mn 0.000 0.000 0.500
Mn2 Mn 0.500 0.500 0.500